1.
Material: FeCuNi
Method: DFT, meta-GGA SCAN
State: single point on PBEsol structure

The polymorph energy (0 for the lowest one) is 41 meV/atom. The value obtained for the total DFT energy (no corrections) is -16.502 eV/atom.

The structure belongs to space group I4mm (No. 107); the cell edges are 2.4747, 2.4747 and 10.6481 Å and the angles 90.00°, 90.00° and 90.00°. Symmetry generates all atoms from Fe at (0.0000, 0.0000, 0.0000), Cu at (0.0000, 0.0000, 0.3281) and Ni at (0.0000, 0.0000, 0.6606).



2.
Material: Fe2CuNi
Method: DFT, meta-GGA SCAN
State: single point on PBEsol structure

The polymorph energy (0 for the lowest one) is 47 meV/atom. The value obtained for the total DFT energy (no corrections) is -16.910 eV/atom.

The structure belongs to space group Cmm2 (No. 35); the cell edges are 3.4682, 3.4832 and 7.2546 Å and the angles 90.00°, 90.00° and 90.00°. Symmetry generates all atoms from Fe at (0.0000, 0.0000, 0.0000), Fe at (0.0000, 0.5000, 0.2587), Cu at (0.0000, 0.0000, 0.5142) and Ni at (0.0000, 0.5000, 0.7621).



3.
Material: FeCuNi2
Method: DFT, meta-GGA SCAN
State: single point on PBEsol structure

The value obtained for the total DFT energy (no corrections) is -16.487 eV/atom.

The structure belongs to space group Pmmm (No. 47); the cell edges are 2.4860, 3.4306 and 5.0404 Å and the angles 90.00°, 90.00° and 90.00°. Symmetry generates all atoms from Fe at (0.0000, 0.0000, 0.0000), Cu at (0.0000, 0.0000, 0.5000) and Ni at (0.5000, 0.5000, 0.2482).



4.
Material: Fe2CuNi
Method: DFT, meta-GGA SCAN
State: single point on PBEsol structure

The polymorph energy (0 for the lowest one) is 41 meV/atom. The value obtained for the total DFT energy (no corrections) is -16.915 eV/atom.

The structure belongs to space group Cm (No. 8); the cell edges are 8.1983, 2.4717 and 4.3919 Å and the angles 90.00°, 99.58° and 90.00°. Symmetry generates all atoms from Fe at (0.0000, 0.0000, 0.0000), Fe at (0.2501, 0.0000, 0.7352), Cu at (0.4978, 0.0000, 0.4931) and Ni at (0.2468, 0.5000, 0.2351).



5.
Material: FeCuNi2
Method: DFT, meta-GGA SCAN
State: single point on PBEsol structure

The value obtained for the total DFT energy (no corrections) is -16.433 eV/atom.

The structure belongs to space group C2/m (No. 12); the cell edges are 8.1583, 2.4728 and 4.3354 Å and the angles 90.00°, 99.85° and 90.00°. Symmetry generates all atoms from Fe at (0.0000, 0.0000, 0.0000), Cu at (0.0000, 0.5000, 0.5000) and Ni at (0.2488, 0.5000, 0.2482).



6.
Material: Fe2CuNi
Method: DFT, meta-GGA SCAN
State: single point on PBEsol structure

The polymorph energy (0 for the lowest one) is 8 meV/atom. The value obtained for the total DFT energy (no corrections) is -16.948 eV/atom.

The structure belongs to space group I4/mmm (No. 139); the cell edges are 3.4889, 3.4889 and 7.2290 Å and the angles 90.00°, 90.00° and 90.00°. Symmetry generates all atoms from Fe at (0.0000, 0.5000, 0.2500), Cu at (0.0000, 0.0000, 0.0000) and Ni at (0.0000, 0.0000, 0.5000).